Entry 1:
# Y3Sc4Rh4 | Alexandria | PBE | relaxed
data_Y3Sc4Rh4
_chemical_formula_sum 'Y6 Sc8 Rh8'
_space_group_name_H-M_alt 'I m m m'
_space_group_IT_number 71
_space_group_name_Hall '-I 2 2'
_cell_length_a 3.7916
_cell_length_b 8.4339
_cell_length_c 14.8744
_cell_angle_alpha 90.00
_cell_angle_beta 90.00
_cell_angle_gamma 90.00
loop_
_atom_site_label
_atom_site_type_symbol
_atom_site_fract_x
_atom_site_fract_y
_atom_site_fract_z
Y1 Y 0.0000 0.0000 0.0000
Y2 Y 0.0000 0.5000 0.1087
Sc1 Sc 0.0000 0.3106 0.3326
Rh1 Rh 0.0000 0.0000 0.2341
Rh2 Rh 0.0000 0.2068 0.5000
# - magnetic moment (μB per cell) = 0.000
# - total DFT energy (no corrections) (eV per atom) = -7.439
# - volume (Å³/atom) = 21.62
# - energy of formation from the pure elements (eV/atom) = -0.700

Entry 2:
# YSc4Rh5 | Alexandria | PBE | relaxed
data_YSc4Rh5
_chemical_formula_sum 'Y1 Sc4 Rh5'
_space_group_name_H-M_alt 'P 4/m m m'
_space_group_IT_number 123
_space_group_name_Hall '-P 4 2'
_cell_length_a 3.2235
_cell_length_b 3.2235
_cell_length_c 16.8354
_cell_angle_alpha 90.00
_cell_angle_beta 90.00
_cell_angle_gamma 90.00
loop_
_atom_site_label
_atom_site_type_symbol
_atom_site_fract_x
_atom_site_fract_y
_atom_site_fract_z
Y1 Y 0.0000 0.0000 0.0000
Sc1 Sc 0.0000 0.0000 0.2073
Sc2 Sc 0.0000 0.0000 0.4026
Rh1 Rh 0.5000 0.5000 0.1135
Rh2 Rh 0.5000 0.5000 0.3062
Rh3 Rh 0.5000 0.5000 0.5000
# - magnetic moment (μB per cell) = 0.000
# - total DFT energy (no corrections) (eV per atom) = -7.823
# - volume (Å³/atom) = 17.49
# - energy of formation from the pure elements (eV/atom) = -0.969

Entry 3:
# Y5ScRh6 | Alexandria | PBE | relaxed
data_Y5ScRh6
_chemical_formula_sum 'Y5 Sc1 Rh6'
_space_group_name_H-M_alt 'P 1 2/m 1'
_space_group_IT_number 10
_space_group_name_Hall '-P 2y'
_cell_length_a 4.7884
_cell_length_b 6.8733
_cell_length_c 7.5827
_cell_angle_alpha 90.00
_cell_angle_beta 108.31
_cell_angle_gamma 90.00
loop_
_atom_site_label
_atom_site_type_symbol
_atom_site_fract_x
_atom_site_fract_y
_atom_site_fract_z
Y1 Y 0.0000 0.0000 0.0000
Y2 Y 0.3335 0.0000 0.6670
Y3 Y 0.3350 0.5000 0.6702
Sc1 Sc 0.0000 0.5000 0.0000
Rh1 Rh 0.1631 0.2549 0.3261
Rh2 Rh 0.5000 0.2594 0.0000
# - magnetic moment (μB per cell) = 0.000
# - total DFT energy (no corrections) (eV per atom) = -7.752
# - volume (Å³/atom) = 19.74
# - energy of formation from the pure elements (eV/atom) = -0.855

Entry 4:
# Y2Sc2Rh | Alexandria | PBE | relaxed
data_Y2Sc2Rh
_chemical_formula_sum 'Y8 Sc8 Rh4'
_space_group_name_H-M_alt 'C 1 2/c 1'
_space_group_IT_number 15
_space_group_name_Hall '-C 2yc'
_cell_length_a 11.8994
_cell_length_b 6.6600
_cell_length_c 6.6837
_cell_angle_alpha 90.00
_cell_angle_beta 106.93
_cell_angle_gamma 90.00
loop_
_atom_site_label
_atom_site_type_symbol
_atom_site_fract_x
_atom_site_fract_y
_atom_site_fract_z
Y1 Y 0.1488 0.0963 0.1029
Sc1 Sc 0.1135 0.3949 0.4779
Rh1 Rh 0.0000 0.2990 0.7500
# - magnetic moment (μB per cell) = 0.001
# - total DFT energy (no corrections) (eV per atom) = -6.948
# - volume (Å³/atom) = 25.34
# - relative energy among the computed polymorphs (meV/atom) = 0
# - energy of formation from the pure elements (eV/atom) = -0.359

Entry 5:
# Y2ScRh3 | Alexandria | PBE | relaxed
data_Y2ScRh3
_chemical_formula_sum 'Y4 Sc2 Rh6'
_space_group_name_H-M_alt 'C m m m'
_space_group_IT_number 65
_space_group_name_Hall '-C 2 2'
_cell_length_a 4.7635
_cell_length_b 14.2696
_cell_length_c 3.3846
_cell_angle_alpha 90.00
_cell_angle_beta 90.00
_cell_angle_gamma 90.00
loop_
_atom_site_label
_atom_site_type_symbol
_atom_site_fract_x
_atom_site_fract_y
_atom_site_fract_z
Y1 Y 0.0000 0.1647 0.0000
Sc1 Sc 0.0000 0.5000 0.0000
Rh1 Rh 0.0000 0.0000 0.5000
Rh2 Rh 0.0000 0.3410 0.5000
# - magnetic moment (μB per cell) = 0.000
# - total DFT energy (no corrections) (eV per atom) = -7.761
# - volume (Å³/atom) = 19.17
# - relative energy among the computed polymorphs (meV/atom) = 3
# - energy of formation from the pure elements (eV/atom) = -0.875

Entry 6:
# Y2ScRh3 | Alexandria | PBE | relaxed
data_Y2ScRh3
_chemical_formula_sum 'Y2 Sc1 Rh3'
_space_group_name_H-M_alt 'P 4/m m m'
_space_group_IT_number 123
_space_group_name_Hall '-P 4 2'
_cell_length_a 3.3636
_cell_length_b 3.3636
_cell_length_c 10.1421
_cell_angle_alpha 90.00
_cell_angle_beta 90.00
_cell_angle_gamma 90.00
loop_
_atom_site_label
_atom_site_type_symbol
_atom_site_fract_x
_atom_site_fract_y
_atom_site_fract_z
Y1 Y 0.0000 0.0000 0.1726
Sc1 Sc 0.0000 0.0000 0.5000
Rh1 Rh 0.5000 0.5000 0.0000
Rh2 Rh 0.5000 0.5000 0.3481
# - magnetic moment (μB per cell) = 0.000
# - total DFT energy (no corrections) (eV per atom) = -7.764
# - volume (Å³/atom) = 19.12
# - relative energy among the computed polymorphs (meV/atom) = 0
# - energy of formation from the pure elements (eV/atom) = -0.878

Entry 7:
# Y2ScRh2 | Alexandria | PBE | relaxed
data_Y2ScRh2
_chemical_formula_sum 'Y4 Sc2 Rh4'
_space_group_name_H-M_alt 'P 4/m b m'
_space_group_IT_number 127
_space_group_name_Hall '-P 4 2ab'
_cell_length_a 7.2894
_cell_length_b 7.2894
_cell_length_c 4.1069
_cell_angle_alpha 90.00
_cell_angle_beta 90.00
_cell_angle_gamma 90.00
loop_
_atom_site_label
_atom_site_type_symbol
_atom_site_fract_x
_atom_site_fract_y
_atom_site_fract_z
Y1 Y 0.1676 0.3324 0.0000
Sc1 Sc 0.0000 0.0000 0.5000
Rh1 Rh 0.1384 0.6384 0.5000
# - magnetic moment (μB per cell) = 0.000
# - total DFT energy (no corrections) (eV per atom) = -7.536
# - volume (Å³/atom) = 21.82
# - relative energy among the computed polymorphs (meV/atom) = 29
# - energy of formation from the pure elements (eV/atom) = -0.744

Entry 8:
# Y3ScRh8 | Alexandria | PBE | relaxed
data_Y3ScRh8
_chemical_formula_sum 'Y9 Sc3 Rh24'
_space_group_name_H-M_alt 'R 3 m'
_space_group_IT_number 160
_space_group_name_Hall 'R 3 -2"'
_cell_length_a 5.3117
_cell_length_b 5.3117
_cell_length_c 26.0158
_cell_angle_alpha 90.00
_cell_angle_beta 90.00
_cell_angle_gamma 120.00
loop_
_atom_site_label
_atom_site_type_symbol
_atom_site_fract_x
_atom_site_fract_y
_atom_site_fract_z
Y1 Y 0.0000 0.0000 0.0000
Y2 Y 0.0000 0.0000 0.1263
Y3 Y 0.0000 0.0000 0.6227
Sc1 Sc 0.0000 0.0000 0.4984
Rh1 Rh 0.0000 0.0000 0.3122
Rh2 Rh 0.0000 0.0000 0.8123
Rh3 Rh 0.9998 0.4999 0.5612
Rh4 Rh 0.0011 0.5005 0.0632
# - magnetic moment (μB per cell) = 0.000
# - total DFT energy (no corrections) (eV per atom) = -7.766
# - volume (Å³/atom) = 17.66
# - energy of formation from the pure elements (eV/atom) = -0.722

Entry 9:
# YScRh | Alexandria | PBE | relaxed
data_YScRh
_chemical_formula_sum 'Y4 Sc4 Rh4'
_space_group_name_H-M_alt 'F -4 3 m'
_space_group_IT_number 216
_space_group_name_Hall 'F -4 2 3'
_cell_length_a 6.6127
_cell_length_b 6.6127
_cell_length_c 6.6127
_cell_angle_alpha 90.00
_cell_angle_beta 90.00
_cell_angle_gamma 90.00
loop_
_atom_site_label
_atom_site_type_symbol
_atom_site_fract_x
_atom_site_fract_y
_atom_site_fract_z
Y1 Y 0.0000 0.0000 0.0000
Sc1 Sc 0.0000 0.0000 0.5000
Rh1 Rh 0.2500 0.2500 0.7500
# - magnetic moment (μB per cell) = 0.000
# - total DFT energy (no corrections) (eV per atom) = -7.267
# - volume (Å³/atom) = 24.10
# - relative energy among the computed polymorphs (meV/atom) = 126
# - energy of formation from the pure elements (eV/atom) = -0.552

Entry 10:
# Y2Sc2Rh | Alexandria | PBE | relaxed
data_Y2Sc2Rh
_chemical_formula_sum 'Y4 Sc4 Rh2'
_space_group_name_H-M_alt 'P 4/m b m'
_space_group_IT_number 127
_space_group_name_Hall '-P 4 2ab'
_cell_length_a 6.7954
_cell_length_b 6.7954
_cell_length_c 5.3995
_cell_angle_alpha 90.00
_cell_angle_beta 90.00
_cell_angle_gamma 90.00
loop_
_atom_site_label
_atom_site_type_symbol
_atom_site_fract_x
_atom_site_fract_y
_atom_site_fract_z
Y1 Y 0.1699 0.3301 0.0000
Sc1 Sc 0.1555 0.6555 0.5000
Rh1 Rh 0.0000 0.0000 0.5000
# - magnetic moment (μB per cell) = 0.001
# - total DFT energy (no corrections) (eV per atom) = -6.855
# - volume (Å³/atom) = 24.93
# - relative energy among the computed polymorphs (meV/atom) = 93
# - energy of formation from the pure elements (eV/atom) = -0.266

Entry 11:
# Y5Sc4Rh4 | Alexandria | PBE | relaxed
data_Y5Sc4Rh4
_chemical_formula_sum 'Y10 Sc8 Rh8'
_space_group_name_H-M_alt 'I 4/m'
_space_group_IT_number 87
_space_group_name_Hall '-I 4'
_cell_length_a 11.9164
_cell_length_b 11.9164
_cell_length_c 4.2032
_cell_angle_alpha 90.00
_cell_angle_beta 90.00
_cell_angle_gamma 90.00
loop_
_atom_site_label
_atom_site_type_symbol
_atom_site_fract_x
_atom_site_fract_y
_atom_site_fract_z
Y1 Y 0.0000 0.0000 0.0000
Y2 Y 0.1288 0.8091 0.5000
Sc1 Sc 0.0923 0.3923 0.5000
Rh1 Rh 0.0738 0.2560 0.0000
# - magnetic moment (μB per cell) = 0.000
# - total DFT energy (no corrections) (eV per atom) = -7.301
# - volume (Å³/atom) = 22.96
# - energy of formation from the pure elements (eV/atom) = -0.605

Entry 12:
# Y4ScRh5 | Alexandria | PBE | relaxed
data_Y4ScRh5
_chemical_formula_sum 'Y4 Sc1 Rh5'
_space_group_name_H-M_alt 'P 4/m m m'
_space_group_IT_number 123
_space_group_name_Hall '-P 4 2'
_cell_length_a 3.3496
_cell_length_b 3.3496
_cell_length_c 17.4610
_cell_angle_alpha 90.00
_cell_angle_beta 90.00
_cell_angle_gamma 90.00
loop_
_atom_site_label
_atom_site_type_symbol
_atom_site_fract_x
_atom_site_fract_y
_atom_site_fract_z
Y1 Y 0.0000 0.0000 0.1023
Y2 Y 0.0000 0.0000 0.3064
Sc1 Sc 0.0000 0.0000 0.5000
Rh1 Rh 0.5000 0.5000 0.0000
Rh2 Rh 0.5000 0.5000 0.2048
Rh3 Rh 0.5000 0.5000 0.4107
# - magnetic moment (μB per cell) = 0.000
# - total DFT energy (no corrections) (eV per atom) = -7.751
# - volume (Å³/atom) = 19.59
# - energy of formation from the pure elements (eV/atom) = -0.857